Record 1
A PBEsol-optimized structure of LaAlAu, computed with SCAN.

CIF file:
```
data_LaAlAu
_chemical_formula_sum 'La4 Al4 Au4'
_cell_length_a 7.741
_cell_length_b 4.631
_cell_length_c 7.396
_cell_angle_alpha 90.00
_cell_angle_beta 90.00
_cell_angle_gamma 90.00
_space_group_name_H-M_alt 'P n m a'
_space_group_IT_number 62
loop_
_space_group_symop_operation_xyz
'x,y,z'
'-x,-y,-z'
'-x+1/2,-y,z+1/2'
'x+1/2,y,-z+1/2'
'x+1/2,-y+1/2,-z+1/2'
'-x+1/2,y+1/2,z+1/2'
'-x,y+1/2,-z'
'x,-y+1/2,z'
loop_
_atom_site_label
_atom_site_fract_x
_atom_site_fract_y
_atom_site_fract_z
La1 0.017 0.250 0.177
Al1 0.168 0.250 0.584
Au1 0.183 0.750 0.404
```

Computed properties:
The total DFT energy (no corrections) is -491.8 eV per cell. As for the crystal system: orthorhombic. The calculation puts the formation energy at -976 meV per atom.

Record 2
A PBEsol-optimized structure of LaAl3Au, computed with SCAN.

CIF file:
```
data_LaAl3Au
_chemical_formula_sum 'La2 Al6 Au2'
_cell_length_a 4.339
_cell_length_b 4.339
_cell_length_c 10.837
_cell_angle_alpha 90.00
_cell_angle_beta 90.00
_cell_angle_gamma 90.00
_space_group_name_H-M_alt 'I 4 m m'
_space_group_IT_number 107
_space_group_name_Hall 'I 4 -2'
loop_
_atom_site_label
_atom_site_fract_x
_atom_site_fract_y
_atom_site_fract_z
La1 0.000 0.000 0.000
Al1 0.000 0.000 0.591
Al2 0.000 0.500 0.240
Au1 0.000 0.000 0.362
```

Computed properties:
The total DFT energy (no corrections) is -279.6 eV per cell. As for the crystal system: tetragonal. The calculation puts the formation energy at -853 meV per atom.

Record 3
A PBEsol-optimized structure of LiAlAu, computed with SCAN.

CIF file:
```
data_LiAlAu
_chemical_formula_sum 'Li2 Al2 Au2'
_cell_length_a 3.278
_cell_length_b 3.278
_cell_length_c 8.255
_cell_angle_alpha 90.00
_cell_angle_beta 90.00
_cell_angle_gamma 90.00
_space_group_name_H-M_alt 'I 4 m m'
_space_group_IT_number 107
_space_group_name_Hall 'I 4 -2'
loop_
_atom_site_label
_atom_site_fract_x
_atom_site_fract_y
_atom_site_fract_z
Li1 0.000 0.000 0.000
Al1 0.000 0.000 0.329
Au1 0.000 0.000 0.661
```

Computed properties:
The total DFT energy (no corrections) is -162.3 eV per cell. As for the crystal system: tetragonal. The calculation puts the formation energy at -611 meV per atom.

Record 4
A PBEsol-optimized structure of LiAl2Au, computed with SCAN.

CIF file:
```
data_LiAl2Au
_chemical_formula_sum 'Li2 Al4 Au2'
_cell_length_a 3.919
_cell_length_b 3.919
_cell_length_c 7.880
_cell_angle_alpha 90.00
_cell_angle_beta 90.00
_cell_angle_gamma 90.00
_space_group_name_H-M_alt 'I -4 m 2'
_space_group_IT_number 119
_space_group_name_Hall 'I -4 -2'
loop_
_atom_site_label
_atom_site_fract_x
_atom_site_fract_y
_atom_site_fract_z
Li1 0.000 0.000 0.000
Al1 0.000 0.000 0.500
Al2 0.000 0.500 0.750
Au1 0.000 0.500 0.250
```

Computed properties:
The total DFT energy (no corrections) is -178.0 eV per cell. As for the crystal system: tetragonal. The calculation puts the formation energy at -484 meV per atom.

Record 5
A PBEsol-optimized structure of LiAl2Au2, computed with SCAN.

CIF file:
```
data_LiAl2Au2
_chemical_formula_sum 'Li2 Al4 Au4'
_cell_length_a 7.453
_cell_length_b 7.453
_cell_length_c 2.997
_cell_angle_alpha 90.00
_cell_angle_beta 90.00
_cell_angle_gamma 90.00
_space_group_name_H-M_alt 'P 4/m b m'
_space_group_IT_number 127
_space_group_name_Hall '-P 4 2ab'
loop_
_atom_site_label
_atom_site_fract_x
_atom_site_fract_y
_atom_site_fract_z
Li1 0.000 0.000 0.000
Al1 0.156 0.344 0.500
Au1 0.143 0.643 0.000
```

Computed properties:
The total DFT energy (no corrections) is -318.6 eV per cell. As for the crystal system: tetragonal. The calculation puts the formation energy at -616 meV per atom.

Record 6
A PBEsol-optimized structure of LiAl2Au, computed with SCAN.

CIF file:
```
data_LiAl2Au
_chemical_formula_sum 'Li1 Al2 Au1'
_cell_length_a 3.972
_cell_length_b 3.972
_cell_length_c 3.823
_cell_angle_alpha 90.00
_cell_angle_beta 90.00
_cell_angle_gamma 90.00
_space_group_name_H-M_alt 'P 4/m m m'
_space_group_IT_number 123
_space_group_name_Hall '-P 4 2'
loop_
_atom_site_label
_atom_site_fract_x
_atom_site_fract_y
_atom_site_fract_z
Li1 0.000 0.000 0.000
Al1 0.000 0.500 0.500
Au1 0.500 0.500 0.000
```

Computed properties:
The total DFT energy (no corrections) is -89.0 eV per cell. As for the crystal system: tetragonal. The calculation puts the formation energy at -498 meV per atom.

Record 7
A PBEsol-optimized structure of LiAlAu2, computed with SCAN.

CIF file:
```
data_LiAlAu2
_chemical_formula_sum 'Li2 Al2 Au4'
_cell_length_a 3.736
_cell_length_b 3.851
_cell_length_c 8.380
_cell_angle_alpha 90.00
_cell_angle_beta 90.00
_cell_angle_gamma 90.00
_space_group_name_H-M_alt 'I m m 2'
_space_group_IT_number 44
loop_
_space_group_symop_operation_xyz
'x,y,z'
'-x,-y,z'
'-x,y,z'
'x,-y,z'
'x+1/2,y+1/2,z+1/2'
'-x+1/2,-y+1/2,z+1/2'
'-x+1/2,y+1/2,z+1/2'
'x+1/2,-y+1/2,z+1/2'
loop_
_atom_site_label
_atom_site_fract_x
_atom_site_fract_y
_atom_site_fract_z
Li1 0.000 0.000 0.000
Al1 0.000 0.500 0.752
Au1 0.000 0.000 0.498
Au2 0.000 0.500 0.249
```

Computed properties:
The total DFT energy (no corrections) is -302.1 eV per cell. As for the crystal system: orthorhombic. The calculation puts the formation energy at -653 meV per atom.

Record 8
A PBEsol-optimized structure of LiAlAu, computed with SCAN.

CIF file:
```
data_LiAlAu
_chemical_formula_sum 'Li2 Al2 Au2'
_cell_length_a 4.2977
_cell_length_b 4.2977
_cell_length_c 5.4214
_cell_angle_alpha 90.00
_cell_angle_beta 90.00
_cell_angle_gamma 120.00
_space_group_name_H-M_alt 'P 63/m m c'
_space_group_IT_number 194
_space_group_name_Hall '-P 6c 2c'
loop_
_atom_site_label
_atom_site_fract_x
_atom_site_fract_y
_atom_site_fract_z
Li1 0.3333 0.6667 0.2500
Al1 0.3333 0.6667 0.7500
Au1 0.0000 0.0000 0.0000
```

Computed properties:
The total DFT energy (no corrections) is -161.6 eV per cell. As for the crystal system: hexagonal. The calculation puts the formation energy at -501 meV per atom.

Record 9
A PBEsol-optimized structure of LiAl2Au, computed with SCAN.

CIF file:
```
data_LiAl2Au
_chemical_formula_sum 'Li1 Al2 Au1'
_cell_length_a 3.002
_cell_length_b 3.743
_cell_length_c 5.469
_cell_angle_alpha 90.00
_cell_angle_beta 90.00
_cell_angle_gamma 90.00
_space_group_name_H-M_alt 'P m m 2'
_space_group_IT_number 25
loop_
_space_group_symop_operation_xyz
'x,y,z'
'-x,-y,z'
'-x,y,z'
'x,-y,z'
loop_
_atom_site_label
_atom_site_fract_x
_atom_site_fract_y
_atom_site_fract_z
Li1 0.000 0.000 0.000
Al1 0.000 0.000 0.512
Al2 0.500 0.500 0.243
Au1 0.500 0.500 0.754
```

Computed properties:
The total DFT energy (no corrections) is -88.7 eV per cell. As for the crystal system: orthorhombic. The calculation puts the formation energy at -424 meV per atom.

Record 10
A PBEsol-optimized structure of LiAlAu, computed with SCAN.

CIF file:
```
data_LiAlAu
_chemical_formula_sum 'Li1 Al1 Au1'
_cell_length_a 4.4050
_cell_length_b 4.4050
_cell_length_c 2.8512
_cell_angle_alpha 90.00
_cell_angle_beta 90.00
_cell_angle_gamma 120.00
_space_group_name_H-M_alt 'P -6 m 2'
_space_group_IT_number 187
_space_group_name_Hall 'P -6 2'
loop_
_atom_site_label
_atom_site_fract_x
_atom_site_fract_y
_atom_site_fract_z
Li1 0.0000 0.0000 0.0000
Al1 0.3333 0.6667 0.5000
Au1 0.6667 0.3333 0.5000
```

Computed properties:
The total DFT energy (no corrections) is -81.0 eV per cell. As for the crystal system: hexagonal. The calculation puts the formation energy at -557 meV per atom.

Record 11
A PBEsol-optimized structure of LiAl2Au, computed with SCAN.

CIF file:
```
data_LiAl2Au
_chemical_formula_sum 'Li4 Al8 Au4'
_cell_length_a 6.253
_cell_length_b 6.253
_cell_length_c 6.253
_cell_angle_alpha 90.00
_cell_angle_beta 90.00
_cell_angle_gamma 90.00
_space_group_name_H-M_alt 'F -4 3 m'
_space_group_IT_number 216
_space_group_name_Hall 'F -4 2 3'
loop_
_atom_site_label
_atom_site_fract_x
_atom_site_fract_y
_atom_site_fract_z
Li1 0.000 0.000 0.000
Al1 0.000 0.000 0.500
Al2 0.250 0.250 0.250
Au1 0.250 0.250 0.750
```

Computed properties:
The total DFT energy (no corrections) is -355.1 eV per cell. As for the crystal system: cubic. The calculation puts the formation energy at -429 meV per atom.

Record 12
A PBEsol-optimized structure of LiAlAu2, computed with SCAN.

CIF file:
```
data_LiAlAu2
_chemical_formula_sum 'Li2 Al2 Au4'
_cell_length_a 9.262
_cell_length_b 3.095
_cell_length_c 4.412
_cell_angle_alpha 90.00
_cell_angle_beta 105.27
_cell_angle_gamma 90.00
_space_group_name_H-M_alt 'C 1 m 1'
_space_group_IT_number 8
loop_
_space_group_symop_operation_xyz
'x,y,z'
'x,-y,z'
'x+1/2,y+1/2,z'
'x+1/2,-y+1/2,z'
loop_
_atom_site_label
_atom_site_fract_x
_atom_site_fract_y
_atom_site_fract_z
Li1 0.000 0.000 0.000
Al1 0.238 0.000 0.653
Au1 0.001 0.500 0.506
Au2 0.242 0.500 0.150
```

Computed properties:
The total DFT energy (no corrections) is -302.1 eV per cell. As for the crystal system: monoclinic. The calculation puts the formation energy at -645 meV per atom.